[1]
First-principles (GGA-PBE) data for a relaxed structure of LuCoHgPb, as listed in OQMD. Values from VASP.

The space group is F-43m (216). As for the total energy: -3.827 eV per atom. The polymorph energy (0 for the lowest one) is 0 meV/atom.

```
&SYSTEM
  ibrav = 0, nat = 4, ntyp = 4
/
ATOMIC_SPECIES
Co 58.93 Co.upf
Pb 207.20 Pb.upf
Lu 174.97 Lu.upf
Hg 200.59 Hg.upf
CELL_PARAMETERS angstrom
0.000 3.460 3.460
3.460 0.000 3.460
3.460 3.460 0.000
ATOMIC_POSITIONS angstrom
Co 5.190 5.190 5.190
Pb 0.000 0.000 0.000
Lu 1.730 1.730 1.730
Hg 3.460 3.460 3.460
```

[2]
First-principles (GGA-PBE) data for a relaxed structure of LuCoHgPb, as listed in OQMD. Values from VASP.

The space group is F-43m (216). As for the total energy: -3.797 eV per atom. The polymorph energy (0 for the lowest one) is 30 meV/atom.

```
&SYSTEM
  ibrav = 0, nat = 4, ntyp = 4
/
ATOMIC_SPECIES
Co 58.93 Co.upf
Pb 207.20 Pb.upf
Lu 174.97 Lu.upf
Hg 200.59 Hg.upf
CELL_PARAMETERS angstrom
-1.809 -4.602 0.334
-4.893 -0.723 0.315
-2.464 -1.977 -3.819
ATOMIC_POSITIONS angstrom
Co -6.874 -5.476 -2.377
Pb 0.000 0.000 0.000
Lu -4.583 -3.651 -1.585
Hg -2.291 -1.825 -0.792
```

[3]
First-principles (GGA-PBE) data for a relaxed structure of LuCoSiHg, as listed in OQMD. Values from VASP.

The space group is F-43m (216). As for the total energy: -4.255 eV per atom. The polymorph energy (0 for the lowest one) is 108 meV/atom.

```
&SYSTEM
  ibrav = 0, nat = 4, ntyp = 4
/
ATOMIC_SPECIES
Si 28.09 Si.upf
Lu 174.97 Lu.upf
Hg 200.59 Hg.upf
Co 58.93 Co.upf
CELL_PARAMETERS angstrom
0.259 -4.367 -1.514
-0.733 -3.511 2.926
-3.843 -2.554 -0.366
ATOMIC_POSITIONS angstrom
Si 0.000 0.000 0.000
Lu -2.159 -5.216 0.523
Hg -1.079 -2.608 0.261
Co -3.238 -7.825 0.784
```

[4]
First-principles (GGA-PBE) data for a relaxed structure of LuCoSiHg, as listed in OQMD. Values from VASP.

The space group is F-43m (216). As for the total energy: -4.363 eV per atom. The polymorph energy (0 for the lowest one) is 0 meV/atom.

```
&SYSTEM
  ibrav = 0, nat = 4, ntyp = 4
/
ATOMIC_SPECIES
Hg 200.59 Hg.upf
Si 28.09 Si.upf
Co 58.93 Co.upf
Lu 174.97 Lu.upf
CELL_PARAMETERS angstrom
0.000 3.277 3.277
3.277 0.000 3.277
3.277 3.277 0.000
ATOMIC_POSITIONS angstrom
Hg 3.277 3.277 3.277
Si 0.000 0.000 0.000
Co 4.915 4.915 4.915
Lu 1.638 1.638 1.638
```

[5]
First-principles (GGA-PBE) data for a relaxed structure of LuCoSnHg, as listed in OQMD. Values from VASP.

The space group is F-43m (216). As for the total energy: -4.033 eV per atom. The polymorph energy (0 for the lowest one) is 0 meV/atom.

```
&SYSTEM
  ibrav = 0, nat = 4, ntyp = 4
/
ATOMIC_SPECIES
Hg 200.59 Hg.upf
Lu 174.97 Lu.upf
Sn 118.71 Sn.upf
Co 58.93 Co.upf
CELL_PARAMETERS angstrom
0.000 3.404 3.404
3.404 0.000 3.404
3.404 3.404 0.000
ATOMIC_POSITIONS angstrom
Hg 3.404 3.404 3.404
Lu 1.702 1.702 1.702
Sn 0.000 0.000 0.000
Co 5.106 5.106 5.106
```

[6]
First-principles (GGA-PBE) data for a relaxed structure of LuCoSnHg, as listed in OQMD. Values from VASP.

The space group is F-43m (216). As for the total energy: -4.013 eV per atom. The polymorph energy (0 for the lowest one) is 20 meV/atom.

```
&SYSTEM
  ibrav = 0, nat = 4, ntyp = 4
/
ATOMIC_SPECIES
Sn 118.71 Sn.upf
Lu 174.97 Lu.upf
Co 58.93 Co.upf
Hg 200.59 Hg.upf
CELL_PARAMETERS angstrom
0.000 3.413 3.413
3.413 0.000 3.413
3.413 3.413 0.000
ATOMIC_POSITIONS angstrom
Sn 0.000 0.000 0.000
Lu 3.413 3.413 3.413
Co 5.120 5.120 5.120
Hg 1.707 1.707 1.707
```